Record 1
First-principles (GGA-PBE) data for an optimized crystal structure of AcPr4Tl, as listed in the Alexandria database.

It has space group P4/mmm (No. 123), with a = 3.831 Å, b = 3.831 Å, c = 14.703 Å, α = 90.00°, β = 90.00° and γ = 90.00°. The inequivalent atoms are Ac at (0.000, 0.000, 0.000), Pr at (0.000, 0.000, 0.359), Pr at (0.500, 0.500, 0.187) and Tl at (0.500, 0.500, 0.500).

The density of states at the Fermi level comes out at 8.90 states/eV/cell. The formation enthalpy at 0 K is -2.39 kcal/mol of atoms. The relative energy among the computed polymorphs comes out at 0 meV per atom.



Record 2
First-principles (GGA-PBE) data for an optimized crystal structure of H3AuSeF, as listed in the Alexandria database.

It has space group P1 (No. 1), with a = 3.604 Å, b = 3.647 Å, c = 8.394 Å, α = 99.33°, β = 90.40° and γ = 90.12°. The inequivalent atoms are H at (0.000, 0.000, 0.000), H at (0.038, 0.869, 0.060), H at (0.293, 0.258, 0.144), Au at (0.519, 0.671, 0.576), Se at (0.020, 0.194, 0.636) and F at (0.449, 0.463, 0.185).

The density of states at the Fermi level comes out at 2.04 states/eV/cell. The relative energy among the computed polymorphs comes out at 9 meV per atom.



Record 3
First-principles (GGA-PBE) data for an optimized crystal structure of Tl2PtClF, as listed in the Alexandria database.

It has space group P4/mmm (No. 123), with a = 5.464 Å, b = 5.464 Å, c = 4.774 Å, α = 90.00°, β = 90.00° and γ = 90.00°. The inequivalent atoms are Tl at (0.000, 0.500, 0.000), Pt at (0.000, 0.000, 0.000), Cl at (0.000, 0.000, 0.500) and F at (0.500, 0.500, 0.500).

The density of states at the Fermi level comes out at 0.87 states/eV/cell. The raw formation energy is -600.6 meV/atom.



Record 4
First-principles (GGA-PBE) data for an optimized crystal structure of SbS5Cl, as listed in the Alexandria database.

It has space group P1 (No. 1), with a = 5.636 Å, b = 6.911 Å, c = 7.016 Å, α = 104.68°, β = 102.99° and γ = 99.81°. The inequivalent atoms are Sb at (0.000, 0.000, 0.000), S at (0.039, 0.368, 0.581), S at (0.149, 0.100, 0.558), S at (0.185, 0.519, 0.903), S at (0.894, 0.884, 0.617), S at (0.909, 0.629, 0.004) and Cl at (0.450, 0.056, 0.074).

The density of states at the Fermi level comes out at 0.00 states/eV/cell. The raw formation energy is -159.7 meV/atom.



Record 5
First-principles (GGA-PBE) data for an optimized crystal structure of Ba4MgAg2, as listed in the Alexandria database.

It has space group Cmcm (No. 63), with a = 6.027 Å, b = 10.474 Å, c = 18.060 Å, α = 90.00°, β = 90.00° and γ = 90.00°. The inequivalent atoms are Ba at (0.000, 0.000, 0.000), Ba at (0.000, 0.332, 0.128), Ba at (0.000, 0.336, 0.750), Mg at (0.000, 0.004, 0.750) and Ag at (0.000, 0.334, 0.562).

The density of states at the Fermi level comes out at 24.73 states/eV/cell. The formation enthalpy at 0 K is -2.75 kcal/mol of atoms.



Record 6
First-principles (GGA-PBE) data for an optimized crystal structure of TaNiSn, as listed in the Alexandria database.

It has space group I4mm (No. 107), with a = 3.035 Å, b = 3.035 Å, c = 10.916 Å, α = 90.00°, β = 90.00° and γ = 90.00°. The inequivalent atoms are Ta at (0.000, 0.000, 0.000), Ni at (0.000, 0.000, 0.355) and Sn at (0.000, 0.000, 0.700).

The density of states at the Fermi level comes out at 4.25 states/eV/cell. The formation enthalpy at 0 K is 0.00 kcal/mol of atoms.